No. 1
Compound: LiMgTl2
Source: Alexandria
Functional: PBEsol
Structure: optimized geometry Values from VASP.

Quantum ESPRESSO input file:
```
&SYSTEM
  ibrav = 0, nat = 4, ntyp = 3
/
ATOMIC_SPECIES
Tl 204.38 Tl.upf
Li 6.94 Li.upf
Mg 24.30 Mg.upf
CELL_PARAMETERS angstrom
-1.1650 1.2638 2.8748
-3.2949 0.4186 0.4319
-2.1232 -8.1229 4.6617
ATOMIC_POSITIONS crystal
Tl 0.7539 0.7539 0.7384
Tl 0.2461 0.2461 0.2616
Li 0.5000 0.5000 0.5000
Mg 0.0000 0.0000 0.0000
```

Energy of formation ... -133.8 meV per atom
Theoretical density ... 7995 kg/m³


No. 2
Compound: LiMg2Tl
Source: Alexandria
Functional: PBEsol
Structure: optimized geometry Values from VASP.

Quantum ESPRESSO input file:
```
&SYSTEM
  ibrav = 0, nat = 4, ntyp = 3
/
ATOMIC_SPECIES
Tl 204.38 Tl.upf
Mg 24.30 Mg.upf
Li 6.94 Li.upf
CELL_PARAMETERS angstrom
-3.0183 -0.7689 1.7126
1.1995 -3.2843 0.6396
2.7155 2.1081 5.7321
ATOMIC_POSITIONS crystal
Tl 0.0000 0.0000 0.5182
Mg 0.5000 0.5000 0.2558
Mg 0.0000 0.0000 0.9844
Li 0.5000 0.5000 0.7416
```

Energy of formation ... -128.2 meV per atom
Theoretical density ... 5111 kg/m³


No. 3
Compound: LiMg2Tl
Source: Alexandria
Functional: PBEsol
Structure: optimized geometry Values from VASP.

Quantum ESPRESSO input file:
```
&SYSTEM
  ibrav = 0, nat = 4, ntyp = 3
/
ATOMIC_SPECIES
Mg 24.30 Mg.upf
Tl 204.38 Tl.upf
Li 6.94 Li.upf
CELL_PARAMETERS angstrom
3.1812 0.0000 -0.0336
0.0000 5.0166 0.0000
-0.3130 0.0000 5.4409
ATOMIC_POSITIONS crystal
Mg 0.7440 0.0000 0.7449
Mg 0.2560 0.0000 0.2551
Tl 0.5000 0.5000 0.0000
Li 0.0000 0.5000 0.5000
```

Energy of formation ... -93.8 meV per atom
Theoretical density ... 4974 kg/m³


No. 4
Compound: LiMgTl2
Source: Alexandria
Functional: PBEsol
Structure: optimized geometry Values from VASP.

Quantum ESPRESSO input file:
```
&SYSTEM
  ibrav = 0, nat = 4, ntyp = 3
/
ATOMIC_SPECIES
Mg 24.30 Mg.upf
Tl 204.38 Tl.upf
Li 6.94 Li.upf
CELL_PARAMETERS angstrom
4.3164 0.0000 0.0000
0.0000 4.3164 0.0000
-2.1582 -2.1582 4.8662
ATOMIC_POSITIONS crystal
Mg 0.7500 0.2500 0.5000
Tl 0.0000 0.0000 0.0000
Tl 0.2500 0.7500 0.5000
Li 0.5000 0.5000 0.0000
```

Energy of formation ... -142.2 meV per atom
Theoretical density ... 8059 kg/m³


No. 5
Compound: LiMg2Tl
Source: Alexandria
Functional: PBEsol
Structure: optimized geometry Values from VASP.

Quantum ESPRESSO input file:
```
&SYSTEM
  ibrav = 0, nat = 4, ntyp = 3
/
ATOMIC_SPECIES
Li 6.94 Li.upf
Mg 24.30 Mg.upf
Tl 204.38 Tl.upf
CELL_PARAMETERS angstrom
3.4111 0.0000 0.0000
0.0000 3.7085 0.0000
0.0000 0.0000 6.6557
ATOMIC_POSITIONS crystal
Li 0.5000 0.5000 0.7412
Mg 0.0000 0.0000 0.9849
Mg 0.5000 0.5000 0.2560
Tl 0.0000 0.0000 0.5178
```

Energy of formation ... -125.4 meV per atom
Theoretical density ... 5127 kg/m³


No. 6
Compound: LiMg2Tl
Source: Alexandria
Functional: PBEsol
Structure: optimized geometry Values from VASP.

Quantum ESPRESSO input file:
```
&SYSTEM
  ibrav = 0, nat = 4, ntyp = 3
/
ATOMIC_SPECIES
Mg 24.30 Mg.upf
Li 6.94 Li.upf
Tl 204.38 Tl.upf
CELL_PARAMETERS angstrom
-2.8985 1.6004 1.4922
0.3827 -2.1193 3.0163
3.7675 4.3919 2.6078
ATOMIC_POSITIONS crystal
Mg 0.0000 0.0000 0.2557
Mg 0.0000 0.0000 0.7443
Li 0.5000 0.5000 0.5000
Tl 0.5000 0.5000 0.0000
```

Energy of formation ... -113.3 meV per atom
Theoretical density ... 5053 kg/m³


No. 7
Compound: LiMg2Tl
Source: Alexandria
Functional: PBEsol
Structure: optimized geometry Values from VASP.

Quantum ESPRESSO input file:
```
&SYSTEM
  ibrav = 0, nat = 4, ntyp = 3
/
ATOMIC_SPECIES
Mg 24.30 Mg.upf
Li 6.94 Li.upf
Tl 204.38 Tl.upf
CELL_PARAMETERS angstrom
-0.5532 1.7725 2.6344
-1.8725 -4.2796 2.4862
5.2241 -1.2739 -0.0175
ATOMIC_POSITIONS crystal
Mg 0.7475 0.7516 0.4951
Mg 0.2525 0.2484 0.5049
Li 0.5000 0.0000 0.0000
Tl 0.0000 0.5000 0.0000
```

Energy of formation ... -108.5 meV per atom
Theoretical density ... 4999 kg/m³


No. 8
Compound: LiMgTl4
Source: Alexandria
Functional: PBEsol
Structure: optimized geometry Values from VASP.

Quantum ESPRESSO input file:
```
&SYSTEM
  ibrav = 0, nat = 6, ntyp = 3
/
ATOMIC_SPECIES
Tl 204.38 Tl.upf
Li 6.94 Li.upf
Mg 24.30 Mg.upf
CELL_PARAMETERS angstrom
6.2527 0.0000 0.0000
3.1264 5.4150 0.0000
3.1264 1.8050 5.1053
ATOMIC_POSITIONS crystal
Tl 0.3750 0.3750 0.8751
Tl 0.8751 0.3750 0.3750
Tl 0.3750 0.8751 0.3750
Tl 0.3750 0.3750 0.3750
Li 0.7500 0.7500 0.7500
Mg 0.0000 0.0000 0.0000
```

Energy of formation ... 103.8 meV per atom
Theoretical density ... 8154 kg/m³


No. 9
Compound: LiMgTl2
Source: Alexandria
Functional: PBEsol
Structure: optimized geometry Values from VASP.

Quantum ESPRESSO input file:
```
&SYSTEM
  ibrav = 0, nat = 4, ntyp = 3
/
ATOMIC_SPECIES
Mg 24.30 Mg.upf
Li 6.94 Li.upf
Tl 204.38 Tl.upf
CELL_PARAMETERS angstrom
3.4219 0.0000 0.0000
0.0000 4.4127 0.0000
0.0000 0.0000 6.0629
ATOMIC_POSITIONS crystal
Mg 0.5000 0.5000 0.7625
Li 0.0000 0.0000 0.4842
Tl 0.0000 0.0000 0.9779
Tl 0.5000 0.5000 0.2754
```

Energy of formation ... -112.7 meV per atom
Theoretical density ... 7981 kg/m³


No. 10
Compound: LiMgTl2
Source: Alexandria
Functional: PBEsol
Structure: optimized geometry Values from VASP.

Quantum ESPRESSO input file:
```
&SYSTEM
  ibrav = 0, nat = 4, ntyp = 3
/
ATOMIC_SPECIES
Li 6.94 Li.upf
Tl 204.38 Tl.upf
Mg 24.30 Mg.upf
CELL_PARAMETERS angstrom
3.4087 0.0000 0.0000
0.0000 3.7460 0.0000
0.0000 0.0000 6.8818
ATOMIC_POSITIONS crystal
Li 0.5000 0.5000 0.0000
Tl 0.0000 0.0000 0.2391
Tl 0.0000 0.0000 0.7609
Mg 0.5000 0.5000 0.5000
```

Energy of formation ... -182.2 meV per atom
Theoretical density ... 8315 kg/m³


No. 11
Compound: LiMg2W
Source: Alexandria
Functional: PBEsol
Structure: optimized geometry Values from VASP.

Quantum ESPRESSO input file:
```
&SYSTEM
  ibrav = 0, nat = 4, ntyp = 3
/
ATOMIC_SPECIES
Mg 24.30 Mg.upf
W 183.84 W.upf
Li 6.94 Li.upf
CELL_PARAMETERS angstrom
-1.1853 1.5206 -1.9469
-4.5294 -1.8002 1.3517
-0.5290 3.8031 3.2924
ATOMIC_POSITIONS crystal
Mg 0.0000 0.5000 0.0000
Mg 0.0000 0.0000 0.5000
W 0.5000 0.5000 0.5000
Li 0.5000 0.0000 0.0000
```

Energy of formation ... 468.2 meV per atom
Theoretical density ... 5671 kg/m³


No. 12
Compound: LiMg2W
Source: Alexandria
Functional: PBEsol
Structure: optimized geometry Values from VASP.

Quantum ESPRESSO input file:
```
&SYSTEM
  ibrav = 0, nat = 4, ntyp = 3
/
ATOMIC_SPECIES
Mg 24.30 Mg.upf
W 183.84 W.upf
Li 6.94 Li.upf
CELL_PARAMETERS angstrom
2.7342 0.0000 0.0000
0.0000 5.0097 0.0000
-1.3671 -2.5048 5.0348
ATOMIC_POSITIONS crystal
Mg 0.2460 0.7460 0.4920
Mg 0.0080 0.0080 0.0159
W 0.4954 0.4954 0.9908
Li 0.7506 0.2506 0.5013
```

Energy of formation ... 522.1 meV per atom
Theoretical density ... 5764 kg/m³


No. 13
Compound: Li2MgW
Source: Alexandria
Functional: PBEsol
Structure: optimized geometry Values from VASP.

Quantum ESPRESSO input file:
```
&SYSTEM
  ibrav = 0, nat = 4, ntyp = 3
/
ATOMIC_SPECIES
W 183.84 W.upf
Li 6.94 Li.upf
Mg 24.30 Mg.upf
CELL_PARAMETERS angstrom
2.5599 0.0000 0.0000
-1.2800 4.8904 0.0169
0.0000 -0.7058 5.3168
ATOMIC_POSITIONS crystal
W 0.7508 0.5016 0.2573
Li 0.9987 0.9973 0.0067
Li 0.2503 0.5006 0.7610
Mg 0.5002 0.0004 0.4750
```

Energy of formation ... 563.5 meV per atom
Theoretical density ... 5536 kg/m³


No. 14
Compound: Li2MgW
Source: Alexandria
Functional: PBEsol
Structure: optimized geometry Values from VASP.

Quantum ESPRESSO input file:
```
&SYSTEM
  ibrav = 0, nat = 4, ntyp = 3
/
ATOMIC_SPECIES
Mg 24.30 Mg.upf
W 183.84 W.upf
Li 6.94 Li.upf
CELL_PARAMETERS angstrom
2.6131 0.0000 0.0000
0.0000 4.8853 0.0000
-1.3065 -2.4427 4.8488
ATOMIC_POSITIONS crystal
Mg 0.5147 0.5147 0.0294
W 0.7455 0.2455 0.4911
Li 0.2585 0.7585 0.5169
Li 0.9813 0.9813 0.9626
```

Energy of formation ... 590.9 meV per atom
Theoretical density ... 5956 kg/m³


No. 15
Compound: LiMgW2
Source: Alexandria
Functional: PBEsol
Structure: optimized geometry Values from VASP.

Quantum ESPRESSO input file:
```
&SYSTEM
  ibrav = 0, nat = 4, ntyp = 3
/
ATOMIC_SPECIES
Li 6.94 Li.upf
Mg 24.30 Mg.upf
W 183.84 W.upf
CELL_PARAMETERS angstrom
-0.7455 -2.4822 0.2386
4.6850 0.0424 0.8833
-1.2549 0.8756 5.1869
ATOMIC_POSITIONS crystal
Li 0.5011 0.0022 0.4943
Mg 0.7479 0.4958 0.2646
W 0.0015 0.0030 0.9721
W 0.2495 0.4990 0.7690
```

Energy of formation ... 526.9 meV per atom
Theoretical density ... 10274 kg/m³


No. 16
Compound: LiMg2W
Source: Alexandria
Functional: PBEsol
Structure: optimized geometry Values from VASP.

Quantum ESPRESSO input file:
```
&SYSTEM
  ibrav = 0, nat = 4, ntyp = 3
/
ATOMIC_SPECIES
Mg 24.30 Mg.upf
W 183.84 W.upf
Li 6.94 Li.upf
CELL_PARAMETERS angstrom
2.6694 0.0000 -0.0096
0.0000 4.5171 0.0000
-1.2050 0.0000 5.7605
ATOMIC_POSITIONS crystal
Mg 0.0717 0.0000 0.2410
Mg 0.9283 0.0000 0.7590
W 0.5000 0.5000 0.0000
Li 0.5000 0.5000 0.5000
```

Energy of formation ... 481.4 meV per atom
Theoretical density ... 5727 kg/m³


No. 17
Compound: LiMg2W
Source: Alexandria
Functional: PBEsol
Structure: optimized geometry Values from VASP.

Quantum ESPRESSO input file:
```
&SYSTEM
  ibrav = 0, nat = 4, ntyp = 3
/
ATOMIC_SPECIES
Mg 24.30 Mg.upf
W 183.84 W.upf
Li 6.94 Li.upf
CELL_PARAMETERS angstrom
2.7616 0.0060 0.0000
-0.9841 2.5803 0.0000
0.0000 0.0000 9.8122
ATOMIC_POSITIONS crystal
Mg 0.0000 0.0000 0.0057
Mg 0.5000 0.5000 0.7362
W 0.0000 0.0000 0.4966
Li 0.5000 0.5000 0.2614
```

Energy of formation ... 347.4 meV per atom
Theoretical density ... 5681 kg/m³


No. 18
Compound: LiMg2W
Source: Alexandria
Functional: PBEsol
Structure: optimized geometry Values from VASP.

Quantum ESPRESSO input file:
```
&SYSTEM
  ibrav = 0, nat = 4, ntyp = 3
/
ATOMIC_SPECIES
Li 6.94 Li.upf
Mg 24.30 Mg.upf
W 183.84 W.upf
CELL_PARAMETERS angstrom
-0.2557 -0.2178 -2.7590
4.0894 -2.7568 -0.1613
-4.5575 -2.4623 2.0167
ATOMIC_POSITIONS crystal
Li 0.5000 0.0000 0.0000
Mg 0.2323 0.2323 0.4645
Mg 0.7677 0.7677 0.5355
W 0.0000 0.5000 0.0000
```

Energy of formation ... 608.8 meV per atom
Theoretical density ... 6059 kg/m³


No. 19
Compound: LiMg2W
Source: Alexandria
Functional: PBEsol
Structure: optimized geometry Values from VASP.

Quantum ESPRESSO input file:
```
&SYSTEM
  ibrav = 0, nat = 8, ntyp = 3
/
ATOMIC_SPECIES
Mg 24.30 Mg.upf
W 183.84 W.upf
Li 6.94 Li.upf
CELL_PARAMETERS angstrom
5.5028 0.0000 0.0000
2.7514 4.9664 0.0000
2.7514 0.0000 4.9664
ATOMIC_POSITIONS crystal
Mg 0.3750 0.4669 0.0331
Mg 0.5919 0.0331 0.5331
Mg 0.8750 0.5331 0.9669
Mg 0.1581 0.9669 0.4669
W 0.0000 0.0000 0.0000
W 0.7500 0.5000 0.5000
Li 0.5000 0.0000 0.0000
Li 0.2500 0.5000 0.5000
```

Energy of formation ... 996.0 meV per atom
Theoretical density ... 5858 kg/m³


No. 20
Compound: Li4YMg
Source: Alexandria
Functional: PBEsol
Structure: optimized geometry Values from VASP.

Quantum ESPRESSO input file:
```
&SYSTEM
  ibrav = 0, nat = 6, ntyp = 3
/
ATOMIC_SPECIES
Li 6.94 Li.upf
Y 88.91 Y.upf
Mg 24.30 Mg.upf
CELL_PARAMETERS angstrom
5.6051 0.0000 0.0000
2.8025 4.8541 0.0000
2.8025 1.6180 4.5765
ATOMIC_POSITIONS crystal
Li 0.3761 0.3761 0.3761
Li 0.3761 0.3761 0.8716
Li 0.3761 0.8716 0.3761
Li 0.8716 0.3761 0.3761
Y 0.0000 0.0000 0.0000
Mg 0.7500 0.7500 0.7500
```

Energy of formation ... 22.2 meV per atom
Theoretical density ... 1880 kg/m³


| no. | N(E_F) (states/eV/f.u.) | VASP energy (eV/atom) |
| --- | --- | --- |
| 1 | 1.72 | -2.37 |
| 2 | 1.41 | -2.14 |
| 3 | 1.24 | -2.10 |
| 4 | 1.48 | -2.38 |
| 5 | 1.52 | -2.13 |
| 6 | 1.32 | -2.12 |
| 7 | 1.51 | -2.12 |
| 8 | 2.86 | -2.26 |
| 9 | 1.87 | -2.35 |
| 10 | 1.51 | -2.42 |
| 11 | 2.11 | -4.33 |
| 12 | 1.80 | -4.28 |
| 13 | 2.85 | -4.30 |
| 14 | 2.74 | -4.27 |
| 15 | 3.29 | -7.30 |
| 16 | 2.96 | -4.32 |
| 17 | 2.36 | -4.45 |
| 18 | 2.50 | -4.19 |
| 19 | 4.60 | -3.81 |
| 20 | 3.06 | -2.71 |